1.
Compound: BaNa2Hg8
Source: the Alexandria database
Functional: PBE-GGA
Structure: relaxed

Cell: 9.268 9.268 5.649 Å, 106.73 106.73 125.22°
Fractional coordinates of all 11 atoms:
Ba 0.000 0.000 0.000
Na 0.317 0.683 0.500
Na 0.683 0.317 0.500
Hg 0.091 0.366 0.733
Hg 0.211 0.789 0.000
Hg 0.366 0.091 0.733
Hg 0.480 0.480 0.731
Hg 0.520 0.520 0.269
Hg 0.634 0.909 0.267
Hg 0.789 0.211 0.000
Hg 0.909 0.634 0.267

Properties
* theoretical density: 9.6 Mg/m³
* ΔE_f: -0.27 eV per atom
* symmetry: No. 12
* DOS at the Fermi energy: 0.3094 states/eV per atom
* total DFT energy (no corrections): -0.0333 hartree per atom

***

2.
Compound: La8Sm2Th3
Source: the Alexandria database
Functional: PBE-GGA
Structure: relaxed

Cell: 7.526 7.526 8.919 Å, 104.92 104.92 96.09°
Fractional coordinates of all 13 atoms:
La 0.079 0.596 0.318
La 0.087 0.087 0.341
La 0.398 0.398 0.781
La 0.404 0.921 0.682
La 0.596 0.079 0.318
La 0.602 0.602 0.219
La 0.913 0.913 0.659
La 0.921 0.404 0.682
Sm 0.233 0.233 0.048
Sm 0.767 0.767 0.952
Th 0.240 0.760 0.000
Th 0.500 0.500 0.500
Th 0.760 0.240 0.000

Properties
* theoretical density: 7.6 Mg/m³
* ΔE_f: 0.20 eV per atom
* symmetry: No. 12
* DOS at the Fermi energy: 1.6556 states/eV per atom
* total DFT energy (no corrections): -0.1936 hartree per atom

***

3.
Compound: MgCd4In
Source: the Alexandria database
Functional: PBE-GGA
Structure: relaxed

Cell: 4.456 3.237 9.579 Å, 90.00 91.14 90.00°
Fractional coordinates of all 6 atoms:
Mg 0.000 0.000 0.000
Cd 0.001 0.000 0.322
Cd 0.499 0.500 0.840
Cd 0.501 0.500 0.160
Cd 0.999 0.000 0.678
In 0.500 0.500 0.500

Properties
* ΔE to the lowest computed polymorph: 0.0 meV per atom
* theoretical density: 7.1 Mg/m³
* ΔE_f: -0.02 eV per atom
* symmetry: No. 10
* DOS at the Fermi energy: 0.2457 states/eV per atom
* total DFT energy (no corrections): -0.0498 hartree per atom

***

4.
Compound: Zn2Cu2Hg
Source: the Alexandria database
Functional: PBE-GGA
Structure: relaxed

Cell: 6.740 6.740 6.740 Å, 149.17 149.17 44.16°
Fractional coordinates of all 5 atoms:
Zn 0.250 0.750 0.500
Zn 0.750 0.250 0.500
Cu 0.100 0.100 0.000
Cu 0.900 0.900 0.000
Hg 0.500 0.500 0.000

Properties
* ΔE to the lowest computed polymorph: 79.4 meV per atom
* theoretical density: 9.5 Mg/m³
* ΔE_f: 0.12 eV per atom
* symmetry: No. 139
* DOS at the Fermi energy: 0.3677 states/eV per atom
* total DFT energy (no corrections): -0.0767 hartree per atom

***

5.
Compound: Cd2IrAu
Source: the Alexandria database
Functional: PBE-GGA
Structure: relaxed

Cell: 2.903 2.903 9.587 Å, 90.00 90.00 116.00°
Fractional coordinates of all 4 atoms:
Cd 0.000 0.000 0.241
Cd 0.000 0.000 0.759
Ir 0.500 0.500 0.000
Au 0.500 0.500 0.500

Properties
* ΔE to the lowest computed polymorph: 100.6 meV per atom
* theoretical density: 14.0 Mg/m³
* ΔE_f: 0.13 eV per atom
* symmetry: No. 65
* DOS at the Fermi energy: 0.4863 states/eV per atom
* total DFT energy (no corrections): -0.1235 hartree per atom

***

6.
Compound: Al6VFe
Source: the Alexandria database
Functional: PBE-GGA
Structure: relaxed

Cell: 5.313 5.313 5.313 Å, 105.45 105.45 105.45°
Fractional coordinates of all 8 atoms:
Al 0.220 0.220 0.664
Al 0.220 0.664 0.220
Al 0.336 0.780 0.780
Al 0.664 0.220 0.220
Al 0.780 0.336 0.780
Al 0.780 0.780 0.336
V 0.000 0.000 0.000
Fe 0.500 0.500 0.500

Properties
* theoretical density: 3.4 Mg/m³
* ΔE_f: -0.02 eV per atom
* symmetry: No. 166
* DOS at the Fermi energy: 0.6902 states/eV per atom
* total DFT energy (no corrections): -0.1845 hartree per atom

***

7.
Compound: TlSn2Cl5
Source: the Alexandria database
Functional: PBE-GGA
Structure: relaxed

Cell: 8.371 8.371 10.863 Å, 112.24 112.24 57.01°
Fractional coordinates of all 16 atoms:
Tl 0.000 0.000 0.000
Tl 0.000 0.000 0.500
Sn 0.357 0.393 0.784
Sn 0.393 0.357 0.284
Sn 0.607 0.643 0.716
Sn 0.643 0.607 0.216
Cl 0.015 0.409 0.665
Cl 0.234 0.766 0.750
Cl 0.262 0.548 0.021
Cl 0.409 0.015 0.165
Cl 0.452 0.738 0.479
Cl 0.548 0.262 0.521
Cl 0.591 0.985 0.835
Cl 0.738 0.452 0.979
Cl 0.766 0.234 0.250
Cl 0.985 0.591 0.335

Properties
* raw formation energy: -1.00 eV/atom
* theoretical density: 3.6 Mg/m³
* symmetry: No. 15
* DOS at the Fermi energy: 0.0000 states/eV per atom
* total DFT energy (no corrections): -0.1270 hartree per atom

***

8.
Compound: Pu2GeIr3
Source: the Alexandria database
Functional: PBE-GGA
Structure: relaxed

Cell: 5.547 5.547 8.099 Å, 90.00 90.00 120.00°
Fractional coordinates of all 12 atoms:
Pu 0.333 0.667 0.072
Pu 0.333 0.667 0.428
Pu 0.667 0.333 0.572
Pu 0.667 0.333 0.928
Ge 0.000 0.000 0.000
Ge 0.000 0.000 0.500
Ir 0.171 0.342 0.750
Ir 0.171 0.829 0.750
Ir 0.342 0.171 0.250
Ir 0.658 0.829 0.750
Ir 0.829 0.171 0.250
Ir 0.829 0.658 0.250

Properties
* theoretical density: 17.5 Mg/m³
* ΔE_f: -0.63 eV per atom
* symmetry: No. 194
* DOS at the Fermi energy: 2.4830 states/eV per atom
* total DFT energy (no corrections): -0.3897 hartree per atom

***

9.
Compound: Zr5TlZn2
Source: the Alexandria database
Functional: PBE-GGA
Structure: relaxed

Cell: 8.132 8.132 8.132 Å, 125.82 125.82 80.19°
Fractional coordinates of all 16 atoms:
Zr 0.000 0.000 0.000
Zr 0.004 0.504 0.810
Zr 0.193 0.004 0.500
Zr 0.307 0.807 0.810
Zr 0.496 0.307 0.500
Zr 0.500 0.500 0.000
Zr 0.504 0.693 0.500
Zr 0.693 0.193 0.190
Zr 0.807 0.996 0.500
Zr 0.996 0.496 0.190
Tl 0.250 0.250 0.000
Tl 0.750 0.750 0.000
Zn 0.137 0.363 0.500
Zn 0.363 0.863 0.226
Zn 0.637 0.137 0.774
Zn 0.863 0.637 0.500

Properties
* theoretical density: 7.7 Mg/m³
* ΔE_f: -0.11 eV per atom
* symmetry: No. 140
* DOS at the Fermi energy: 1.1626 states/eV per atom
* total DFT energy (no corrections): -0.2228 hartree per atom

***

10.
Compound: MgMnZn2
Source: the Alexandria database
Functional: PBE-GGA
Structure: relaxed

Cell: 9.128 9.128 9.128 Å, 18.29 18.29 18.29°
Fractional coordinates of all 4 atoms:
Mg 0.000 0.000 0.000
Mn 0.500 0.500 0.500
Zn 0.244 0.244 0.244
Zn 0.756 0.756 0.756

Properties
* theoretical density: 5.3 Mg/m³
* ΔE_f: 0.13 eV per atom
* symmetry: No. 166
* DOS at the Fermi energy: 0.6270 states/eV per atom
* total DFT energy (no corrections): -0.1175 hartree per atom

***

11.
Compound: TaPRu2
Source: the Alexandria database
Functional: PBE-GGA
Structure: relaxed

Cell: 4.388 4.388 3.073 Å, 90.00 90.00 99.42°
Fractional coordinates of all 4 atoms:
Ta 0.000 0.000 0.000
P 0.500 0.500 0.000
Ru 0.000 0.500 0.500
Ru 0.500 0.000 0.500

Properties
* theoretical density: 11.8 Mg/m³
* ΔE_f: -0.16 eV per atom
* symmetry: No. 65
* DOS at the Fermi energy: 0.6949 states/eV per atom
* total DFT energy (no corrections): -0.3349 hartree per atom

***

12.
Compound: CuC
Source: the Alexandria database
Functional: PBE-GGA
Structure: relaxed

Cell: 3.957 6.379 7.384 Å, 90.00 90.00 90.00°
Fractional coordinates of all 16 atoms:
Cu 0.052 0.124 0.088
Cu 0.056 0.498 0.741
Cu 0.444 0.502 0.241
Cu 0.448 0.876 0.588
Cu 0.552 0.376 0.912
Cu 0.556 0.002 0.259
Cu 0.944 0.998 0.759
Cu 0.948 0.624 0.412
C 0.085 0.005 0.344
C 0.100 0.467 0.014
C 0.400 0.533 0.514
C 0.415 0.995 0.844
C 0.585 0.495 0.656
C 0.600 0.033 0.986
C 0.900 0.967 0.486
C 0.915 0.505 0.156

Properties
* ΔE to the lowest computed polymorph: 509.5 meV per atom
* theoretical density: 5.4 Mg/m³
* ΔE_f: 0.73 eV per atom
* symmetry: No. 19
* total DFT energy (no corrections): -0.2179 hartree per atom

***

What did the second record say?
Compound: La8Sm2Th3
Source: the Alexandria database
Functional: PBE-GGA
Structure: relaxed

Cell: 7.526 7.526 8.919 Å, 104.92 104.92 96.09°
Fractional coordinates of all 13 atoms:
La 0.079 0.596 0.318
La 0.087 0.087 0.341
La 0.398 0.398 0.781
La 0.404 0.921 0.682
La 0.596 0.079 0.318
La 0.602 0.602 0.219
La 0.913 0.913 0.659
La 0.921 0.404 0.682
Sm 0.233 0.233 0.048
Sm 0.767 0.767 0.952
Th 0.240 0.760 0.000
Th 0.500 0.500 0.500
Th 0.760 0.240 0.000

Properties
* theoretical density: 7.6 Mg/m³
* ΔE_f: 0.20 eV per atom
* symmetry: No. 12
* DOS at the Fermi energy: 1.6556 states/eV per atom
* total DFT energy (no corrections): -0.1936 hartree per atom

***

Which formula does entry 12 have?
CuC

***

Which value of total DFT energy (no corrections) does entry 4 give?
-0.0767 hartree per atom